A plane-wave DFT calculation with PBE-GGA was carried out for a geometry-optimized CaTe2IN structure.

Distance to the lowest polymorph of the same formula (meV per atom): 0
Crystal system: tetragonal
Formation energy from raw total energies (kJ per mole of atoms): 5.8

Cell: 4.823 4.823 5.290 Å, 90.00 90.00 90.00°
Atoms (fractional coordinates):
I  0.000  0.000  0.500
Ca  0.500  0.500  0.500
Te  0.000  0.500  0.000
Te  0.500  0.000  0.000
N  0.000  0.000  0.000

---

A plane-wave DFT calculation with PBE-GGA was carried out for a geometry-optimized CaTe2IN structure.

Distance to the lowest polymorph of the same formula (meV per atom): 777
Crystal system: tetragonal
Formation energy from raw total energies (kJ per mole of atoms): 80.8

Cell: 6.185 6.185 6.141 Å, 90.00 90.00 90.00°
Site moments in Bohr magnetons follow the coordinates.
Atoms (fractional coordinates):
I  0.000  0.000  0.500  0.19
Ca  0.000  0.000  0.000  -0.01
Te  0.000  0.500  0.000  0.68
Te  0.500  0.000  0.000  0.68
N  0.500  0.500  0.500  1.92

---

A plane-wave DFT calculation with PBE-GGA was carried out for a geometry-optimized CaTe2IN structure.

Distance to the lowest polymorph of the same formula (meV per atom): 707
Crystal system: tetragonal
Formation energy from raw total energies (kJ per mole of atoms): 74.0

Cell: 6.026 6.026 4.336 Å, 90.00 90.00 90.00°
Site moments in Bohr magnetons follow the coordinates.
Atoms (fractional coordinates):
I  0.500  0.500  0.500  0.00
Ca  0.000  0.000  0.000  -0.02
Te  0.000  0.500  0.000  0.05
Te  0.500  0.000  0.000  0.05
N  0.000  0.000  0.500  -0.08